Pr4SnBiO: optimized geometry, PBE.

Lattice parameters (Å, degrees): 6.717 18.188 6.662 90.00 90.00 90.00
Space group Cmcm (No. 63)
Unique sites:
Pr  0.000  0.066  0.250 x4
Pr  0.000  0.420  0.250 x4
Pr  0.250  0.250  0.000 x8
Sn  0.000  0.113  0.750 x4
Bi  0.000  0.390  0.750 x4
O  0.000  0.290  0.250 x4

Calculated volume   29.07 A^3/atom
Energy relative to the elements, uncorrected   -9.0 eV per formula unit
Size of the total moment   5.1 μB/cell
Calculated density   7405 kg/m3